i) Below is ScTi3Ag after structural relaxation, with properties calculated at the GGA-PBE level.

```
5
Lattice="4.6854 0.0000 0.0000 0.0000 4.6854 0.0000 0.0000 0.0000 4.6854" Properties=species:S:1:pos:R:3 pbc="T T T"
Sc 0.0000 0.0000 0.0000
Ti 0.0000 0.0000 2.3427
Ti 0.0000 2.3427 0.0000
Ti 2.3427 0.0000 0.0000
Ag 2.3427 2.3427 2.3427
```

V: 20.57 Å³/atom
M_tot: 2.22 Bohr magnetons per cell

***

ii) Below is ScTi3Ag after structural relaxation, with properties calculated at the GGA-PBE level.

```
5
Lattice="4.8997 0.0000 0.0000 0.0000 4.8997 0.0000 0.0000 0.0000 4.8997" Properties=species:S:1:pos:R:3 pbc="T T T"
Sc 0.0000 0.0000 0.0000
Ti 0.0000 2.4498 2.4498
Ti 2.4498 0.0000 2.4498
Ti 2.4498 2.4498 0.0000
Ag 2.4498 2.4498 2.4498
```

V: 23.53 Å³/atom
M_tot: 2.46 Bohr magnetons per cell

***

On energetic grounds, ii) is preferred over the next structure by 282 meV/atom.

***

i) Below is Sc2TlAg after structural relaxation, with properties calculated at the GGA-PBE level.

```
4
Lattice="-2.1305 2.1305 4.8276 2.1305 -2.1305 4.8276 2.1305 2.1305 -4.8276" Properties=species:S:1:pos:R:3 pbc="T T T"
Sc 0.0000 0.0000 0.0000
Sc 0.0000 2.1305 2.4138
Tl 2.1305 0.0000 2.4138
Ag 0.0000 0.0000 4.8276
```

V: 21.91 Å³/atom
M_tot: 0.00 Bohr magnetons per cell

***

ii) Below is Sc2TlAg after structural relaxation, with properties calculated at the GGA-PBE level.

```
4
Lattice="4.9624 0.0000 0.0000 0.0000 4.9624 0.0000 0.0000 0.0000 3.5446" Properties=species:S:1:pos:R:3 pbc="T T T"
Sc 0.0000 2.4812 0.0000
Sc 2.4812 0.0000 0.0000
Tl 0.0000 0.0000 1.7723
Ag 2.4812 2.4812 1.7723
```

V: 21.82 Å³/atom
M_tot: 0.30 Bohr magnetons per cell

***

iii) Below is Sc2TlAg after structural relaxation, with properties calculated at the GGA-PBE level.

```
8
Lattice="-2.1969 2.1969 10.2087 2.1969 -2.1969 10.2087 2.1969 2.1969 -10.2087" Properties=species:S:1:pos:R:3 pbc="T T T"
Sc 3.2954 1.0867 -2.5522
Sc 1.0867 1.0985 2.5522
Sc -1.0985 1.1102 7.6565
Sc 1.1102 1.0985 12.7609
Tl 0.0000 0.0000 0.0000
Tl 0.0000 2.1969 5.1043
Ag 2.1969 0.0000 5.1043
Ag 0.0000 0.0000 10.2087
```

V: 24.64 Å³/atom
M_tot: 1.34 Bohr magnetons per cell

***

iv) Below is Sc2TlAg after structural relaxation, with properties calculated at the GGA-PBE level.

```
4
Lattice="1.6701 0.9642 9.7152 -1.6701 0.9642 9.7152 0.0000 -1.9285 9.7152" Properties=species:S:1:pos:R:3 pbc="T T T"
Sc 0.0000 0.0000 0.0000
Sc 0.0000 0.0000 7.1344
Tl 0.0000 0.0000 21.9424
Ag 0.0000 0.0000 14.6239
```

V: 23.47 Å³/atom
M_tot: 1.11 Bohr magnetons per cell

***

On energetic grounds, ii) is preferred over the next structure by 132 meV/atom.

***

i) Below is Sc2TlAg after structural relaxation, with properties calculated at the GGA-PBE level.

```
4
Lattice="0.0000 3.5157 3.5157 3.5157 0.0000 3.5157 3.5157 3.5157 0.0000" Properties=species:S:1:pos:R:3 pbc="T T T"
Sc 0.0000 0.0000 0.0000
Sc 1.7578 1.7578 1.7578
Tl 5.2735 5.2735 5.2735
Ag 3.5157 3.5157 3.5157
```

V: 21.73 Å³/atom
M_tot: 1.85 Bohr magnetons per cell

***

ii) Below is Sc2TlAg after structural relaxation, with properties calculated at the GGA-PBE level.

```
4
Lattice="1.7067 0.9853 9.2363 -1.7067 0.9853 9.2363 0.0000 -1.9707 9.2363" Properties=species:S:1:pos:R:3 pbc="T T T"
Sc 0.0000 0.0000 6.7922
Sc 0.0000 0.0000 20.9166
Tl 0.0000 0.0000 0.0000
Ag 0.0000 0.0000 13.8544
```

V: 23.30 Å³/atom
M_tot: 0.00 Bohr magnetons per cell

***

iii) Below is Sc2TlAg after structural relaxation, with properties calculated at the GGA-PBE level.

```
4
Lattice="1.7027 0.9830 9.2776 -1.7027 0.9830 9.2776 0.0000 -1.9661 9.2776" Properties=species:S:1:pos:R:3 pbc="T T T"
Sc 0.0000 0.0000 0.0000
Sc 0.0000 0.0000 4.9731
Tl 0.0000 0.0000 21.0456
Ag 0.0000 0.0000 16.3873
```

V: 23.29 Å³/atom
M_tot: 0.03 Bohr magnetons per cell

***

On energetic grounds, ii) is preferred over the next structure by 21 meV/atom.

***

i) Below is Sc2TlAg after structural relaxation, with properties calculated at the GGA-PBE level.

```
4
Lattice="0.0000 3.5190 3.5190 3.5190 0.0000 3.5190 3.5190 3.5190 0.0000" Properties=species:S:1:pos:R:3 pbc="T T T"
Sc 1.7595 1.7595 1.7595
Sc 5.2785 5.2785 5.2785
Tl 0.0000 0.0000 0.0000
Ag 3.5190 3.5190 3.5190
```

V: 21.79 Å³/atom
M_tot: 0.00 Bohr magnetons per cell

***

ii) Below is Sc2TlAg after structural relaxation, with properties calculated at the GGA-PBE level.

```
4
Lattice="4.7013 -1.7146 0.0000 4.7013 1.7146 0.0000 -1.3065 0.0000 5.7622" Properties=species:S:1:pos:R:3 pbc="T T T"
Sc 1.9842 0.0000 1.3831
Sc 6.1120 0.0000 4.3790
Tl -0.6532 0.0000 2.8811
Ag 4.7013 0.0000 0.0000
```

V: 23.22 Å³/atom
M_tot: 0.00 Bohr magnetons per cell

***

iii) Below is Sc2TlAg after structural relaxation, with properties calculated at the GGA-PBE level.

```
4
Lattice="5.7147 -1.7598 0.0000 5.7147 1.7598 0.0000 -2.0392 0.0000 4.4136" Properties=species:S:1:pos:R:3 pbc="T T T"
Sc 0.0000 0.0000 0.0000
Sc 1.1662 0.0000 3.2207
Tl 8.2379 0.0000 1.1689
Ag 4.6773 0.0000 2.2039
```

V: 22.19 Å³/atom
M_tot: 0.66 Bohr magnetons per cell

***

iv) Below is Sc2TlAg after structural relaxation, with properties calculated at the GGA-PBE level.

```
4
Lattice="3.4534 0.0000 0.0000 0.0000 3.5034 0.0000 0.0000 0.0000 7.2077" Properties=species:S:1:pos:R:3 pbc="T T T"
Sc 0.0000 0.0000 1.6792
Sc 0.0000 0.0000 5.5285
Tl 1.7267 1.7517 3.6038
Ag 1.7267 1.7517 0.0000
```

V: 21.80 Å³/atom
M_tot: 0.00 Bohr magnetons per cell

***

On energetic grounds, i) is preferred over the next structure by 11 meV/atom.